No. 1
A plane-wave DFT calculation with GGA-PBE was carried out for a geometry-optimized BaCr2W structure.

The space group is R-3m (No. 166, hexagonal axes) and the conventional cell measures 3.1610, 3.1610 and 28.8985 Å, with angles of 90.00, 90.00 and 120.00 degrees. The asymmetric unit holds Ba at (0.0000, 0.0000, 0.0000), Cr at (0.0000, 0.0000, 0.2295) and W at (0.0000, 0.0000, 0.5000).

The magnetization is 14.78 μB/cell. The energy above the most stable polymorph in this dataset comes out at 308 meV/atom. The calculation puts the density at 8.5 Mg/m³. The value obtained for the density of states at the Fermi level is 4.29 states/eV/f.u. The value obtained for the energy of formation is 1108.7 meV/atom.

---

No. 2
A plane-wave DFT calculation with GGA-PBE was carried out for a geometry-optimized BaCr2W structure.

The space group is P4mm (No. 99) and the conventional cell measures 3.2398, 3.2398 and 7.7751 Å, with angles of 90.00, 90.00 and 90.00 degrees. The asymmetric unit holds Ba at (0.0000, 0.0000, 0.0000), Cr at (0.0000, 0.0000, 0.4820), Cr at (0.5000, 0.5000, 0.3511) and W at (0.5000, 0.5000, 0.6387).

The magnetization is 0.00 μB/cell. The energy above the most stable polymorph in this dataset comes out at 83 meV/atom. The calculation puts the density at 8.7 Mg/m³. The value obtained for the density of states at the Fermi level is 4.99 states/eV/f.u. The value obtained for the energy of formation is 884.0 meV/atom.

---

No. 3
A plane-wave DFT calculation with GGA-PBE was carried out for a geometry-optimized Ba2CrW structure.

The space group is Cm (No. 8) and the conventional cell measures 7.1264, 4.1151 and 9.7343 Å, with angles of 90.00, 103.33 and 90.00 degrees. The asymmetric unit holds Ba at (0.0000, 0.0000, 0.0000), Ba at (0.1708, 0.0000, 0.5395), Cr at (0.4189, 0.0000, 0.2699) and W at (0.2521, 0.5000, 0.2697).

The magnetization is 0.02 μB/cell. The energy above the most stable polymorph in this dataset comes out at 0 meV/atom. The calculation puts the density at 6.1 Mg/m³. The value obtained for the density of states at the Fermi level is 2.32 states/eV/f.u. The value obtained for the energy of formation is 761.8 meV/atom.

---

No. 4
A plane-wave DFT calculation with GGA-PBE was carried out for a geometry-optimized Ba2CrW structure.

The space group is I-42d (No. 122) and the conventional cell measures 12.4193, 12.4193 and 4.5623 Å, with angles of 90.00, 90.00 and 90.00 degrees. The asymmetric unit holds Ba at (0.0683, 0.2500, 0.1250), Cr at (0.0000, 0.0000, 0.0000) and W at (0.0000, 0.0000, 0.5000).

The magnetization is 3.07 μB/cell. The energy above the most stable polymorph in this dataset comes out at 462 meV/atom. The calculation puts the density at 4.8 Mg/m³. The value obtained for the density of states at the Fermi level is 4.65 states/eV/f.u. The value obtained for the energy of formation is 1223.7 meV/atom.

---

No. 5
A plane-wave DFT calculation with GGA-PBE was carried out for a geometry-optimized BaCr2W structure.

The space group is Pm (No. 6) and the conventional cell measures 3.0309, 3.6082 and 7.6662 Å, with angles of 90.00, 97.56 and 90.00 degrees. The asymmetric unit holds Ba at (0.0000, 0.0000, 0.0000), Cr at (0.5004, 0.5000, 0.3502), Cr at (0.8928, 0.0000, 0.4781) and W at (0.3732, 0.5000, 0.6337).

The magnetization is 0.00 μB/cell. The energy above the most stable polymorph in this dataset comes out at 96 meV/atom. The calculation puts the density at 8.5 Mg/m³. The value obtained for the density of states at the Fermi level is 4.66 states/eV/f.u. The value obtained for the energy of formation is 896.8 meV/atom.

---

No. 6
A plane-wave DFT calculation with GGA-PBE was carried out for a geometry-optimized BaYCr4 structure.

The space group is F-43m (No. 216) and the conventional cell measures 7.5061, 7.5061 and 7.5061 Å, with angles of 90.00, 90.00 and 90.00 degrees. The asymmetric unit holds Ba at (0.0000, 0.0000, 0.0000), Y at (0.2500, 0.2500, 0.2500) and Cr at (0.1242, 0.1242, 0.6242).

The magnetization is 0.00 μB/cell. The calculation puts the density at 6.8 Mg/m³. The value obtained for the density of states at the Fermi level is 8.38 states/eV/f.u. The value obtained for the energy of formation is 874.2 meV/atom.

---

No. 7
A plane-wave DFT calculation with GGA-PBE was carried out for a geometry-optimized BaYCr2 structure.

The space group is P4/mmm (No. 123) and the conventional cell measures 3.7973, 3.7973 and 8.0027 Å, with angles of 90.00, 90.00 and 90.00 degrees. The asymmetric unit holds Ba at (0.0000, 0.0000, 0.0000), Y at (0.0000, 0.0000, 0.5000) and Cr at (0.5000, 0.5000, 0.3001).

The magnetization is 8.19 μB/cell. The energy above the most stable polymorph in this dataset comes out at 186 meV/atom. The calculation puts the density at 4.8 Mg/m³. The value obtained for the density of states at the Fermi level is 3.46 states/eV/f.u. The value obtained for the energy of formation is 675.0 meV/atom.

---

No. 8
A plane-wave DFT calculation with GGA-PBE was carried out for a geometry-optimized BaYCr2 structure.

The space group is R-3m (No. 166, hexagonal axes) and the conventional cell measures 3.6601, 3.6601 and 29.8930 Å, with angles of 90.00, 90.00 and 120.00 degrees. The asymmetric unit holds Ba at (0.0000, 0.0000, 0.0000), Y at (0.0000, 0.0000, 0.5000) and Cr at (0.0000, 0.0000, 0.2422).

The magnetization is 23.32 μB/cell. The energy above the most stable polymorph in this dataset comes out at 452 meV/atom. The calculation puts the density at 4.7 Mg/m³. The value obtained for the density of states at the Fermi level is 4.94 states/eV/f.u. The value obtained for the energy of formation is 940.6 meV/atom.

---

No. 9
A plane-wave DFT calculation with GGA-PBE was carried out for a geometry-optimized BaY2Cr structure.

The space group is P4/mmm (No. 123) and the conventional cell measures 4.8941, 4.8941 and 5.4391 Å, with angles of 90.00, 90.00 and 90.00 degrees. The asymmetric unit holds Ba at (0.0000, 0.0000, 0.0000), Y at (0.0000, 0.5000, 0.5000) and Cr at (0.5000, 0.5000, 0.0000).

The magnetization is 3.48 μB/cell. The energy above the most stable polymorph in this dataset comes out at 275 meV/atom. The calculation puts the density at 4.7 Mg/m³. The value obtained for the density of states at the Fermi level is 5.04 states/eV/f.u. The value obtained for the energy of formation is 577.0 meV/atom.

---

No. 10
A plane-wave DFT calculation with GGA-PBE was carried out for a geometry-optimized BaY4Cr structure.

The space group is F-43m (No. 216) and the conventional cell measures 9.4802, 9.4802 and 9.4802 Å, with angles of 90.00, 90.00 and 90.00 degrees. The asymmetric unit holds Ba at (0.0000, 0.0000, 0.0000), Y at (0.1237, 0.1237, 0.3763) and Cr at (0.2500, 0.2500, 0.7500).

The magnetization is 23.06 μB/cell. The calculation puts the density at 4.2 Mg/m³. The value obtained for the density of states at the Fermi level is 9.28 states/eV/f.u. The value obtained for the energy of formation is 646.8 meV/atom.

---

No. 11
A plane-wave DFT calculation with GGA-PBE was carried out for a geometry-optimized BaYCr2 structure.

The space group is Fm-3m (No. 225) and the conventional cell measures 7.6901, 7.6901 and 7.6901 Å, with angles of 90.00, 90.00 and 90.00 degrees. The asymmetric unit holds Ba at (0.0000, 0.0000, 0.0000), Y at (0.0000, 0.0000, 0.5000) and Cr at (0.2500, 0.2500, 0.2500).

The magnetization is 31.73 μB/cell. The energy above the most stable polymorph in this dataset comes out at 315 meV/atom. The calculation puts the density at 4.8 Mg/m³. The value obtained for the density of states at the Fermi level is 4.24 states/eV/f.u. The value obtained for the energy of formation is 804.5 meV/atom.

---

No. 12
A plane-wave DFT calculation with GGA-PBE was carried out for a geometry-optimized BaY2Cr structure.

The space group is I4_1/amd (No. 141, origin choice 2) and the conventional cell measures 7.8125, 7.8125 and 11.0359 Å, with angles of 90.00, 90.00 and 90.00 degrees. The asymmetric unit holds Ba at (0.0000, 0.2500, 0.3750), Y at (0.0000, 0.0000, 0.0000) and Cr at (0.0000, 0.2500, 0.8750).

The magnetization is 0.00 μB/cell. The energy above the most stable polymorph in this dataset comes out at 549 meV/atom. The calculation puts the density at 3.6 Mg/m³. The value obtained for the density of states at the Fermi level is 0.62 states/eV/f.u. The value obtained for the energy of formation is 851.1 meV/atom.